1.
Computed, not measured: a geometry-optimized Cs3InCl structure at the GGA-PBE level of DFT.

Output
Distance to the lowest polymorph of the same formula   0 meV per atom
Crystal system   cubic
Formation energy (no corrections)   -315.7 kJ/mol of formula units

CIF file:
```
data_Cs3InCl
_chemical_formula_sum 'Cs3 In1 Cl1'
_cell_length_a 6.737
_cell_length_b 6.737
_cell_length_c 6.737
_cell_angle_alpha 90.00
_cell_angle_beta 90.00
_cell_angle_gamma 90.00
_space_group_name_H-M_alt 'P m -3 m'
_space_group_IT_number 221
_space_group_name_Hall '-P 4 2 3'
loop_
_atom_site_label
_atom_site_fract_x
_atom_site_fract_y
_atom_site_fract_z
Cs1 0.000 0.000 0.500
In1 0.500 0.500 0.500
Cl1 0.000 0.000 0.000
```

=====

2.
Computed, not measured: a geometry-optimized CsInCl2 structure at the GGA-PBE level of DFT.

Output
Distance to the lowest polymorph of the same formula   77 meV per atom
Crystal system   tetragonal
Formation energy (no corrections)   -506.3 kJ/mol of formula units

CIF file:
```
data_CsInCl2
_chemical_formula_sum 'Cs4 In4 Cl8'
_cell_length_a 7.300
_cell_length_b 7.300
_cell_length_c 15.461
_cell_angle_alpha 90.00
_cell_angle_beta 90.00
_cell_angle_gamma 90.00
_space_group_name_H-M_alt 'I -4 2 d'
_space_group_IT_number 122
_space_group_name_Hall 'I -4 2bw'
loop_
_atom_site_label
_atom_site_fract_x
_atom_site_fract_y
_atom_site_fract_z
Cs1 0.000 0.000 0.000
In1 0.000 0.000 0.500
Cl1 0.211 0.250 0.625
```

=====

3.
Computed, not measured: a geometry-optimized Cs2In3Cl8 structure at the GGA-PBE level of DFT.

Output
Crystal system   monoclinic
Formation energy (no corrections)   -1643.0 kJ/mol of formula units

CIF file:
```
data_Cs2In3Cl8
_chemical_formula_sum 'Cs4 In6 Cl16'
_cell_length_a 14.109
_cell_length_b 7.337
_cell_length_c 8.761
_cell_angle_alpha 90.00
_cell_angle_beta 97.76
_cell_angle_gamma 90.00
_space_group_name_H-M_alt 'C 1 2/m 1'
_space_group_IT_number 12
loop_
_space_group_symop_operation_xyz
'x,y,z'
'-x,-y,-z'
'-x,y,-z'
'x,-y,z'
'x+1/2,y+1/2,z'
'-x+1/2,-y+1/2,-z'
'-x+1/2,y+1/2,-z'
'x+1/2,-y+1/2,z'
loop_
_atom_site_label
_atom_site_fract_x
_atom_site_fract_y
_atom_site_fract_z
Cs1 0.196 0.000 0.129
In1 0.000 0.282 0.500
In2 0.000 0.500 0.000
Cl1 0.065 0.254 0.829
Cl2 0.120 0.000 0.485
Cl3 0.156 0.500 0.176
```